No. 1
Material: Cs2SnCl6F
Method: DFT, PBE-GGA
State: relaxed

Properties
The calculation puts the magnetization at 0.100 μB/atom. The uncorrected formation energy is -1.3098 eV per atom.

abc: 7.380 7.380 11.327
angles: 90.00 90.00 90.00
Space group I4/mmm (No. 139)
Unique sites:
Cs 0.000 0.500 0.250 (multiplicity 4)
Sn 0.000 0.000 0.000 (multiplicity 2)
Cl 0.000 0.000 0.219 (multiplicity 4)
Cl 0.238 0.238 0.000 (multiplicity 8)
F 0.000 0.000 0.500 (multiplicity 2)

***

No. 2
Material: Cs2SnCl3F
Method: DFT, PBE-GGA
State: relaxed

Properties
The calculation puts the magnetization at 0.000 μB/atom. The uncorrected formation energy is -1.8428 eV per atom.

abc: 4.722 5.681 18.126
angles: 90.00 90.00 90.00
Space group Immm (No. 71)
Unique sites:
Cs 0.000 0.000 0.146 (multiplicity 4)
Sn 0.000 0.000 0.500 (multiplicity 2)
Cl 0.000 0.000 0.339 (multiplicity 4)
Cl 0.000 0.500 0.500 (multiplicity 2)
F 0.000 0.500 0.000 (multiplicity 2)

***

No. 3
Material: Cs2SnCl2F4
Method: DFT, PBE-GGA
State: relaxed

Properties
The calculation puts the magnetization at 0.000 μB/atom. The uncorrected formation energy is -2.3412 eV per atom.

abc: 7.225 7.225 8.972
angles: 90.00 90.00 90.00
Space group I4/mmm (No. 139)
Unique sites:
Cs 0.000 0.500 0.250 (multiplicity 4)
Sn 0.000 0.000 0.000 (multiplicity 2)
Cl 0.000 0.000 0.272 (multiplicity 4)
F 0.198 0.198 0.000 (multiplicity 8)

***

No. 4
Material: Cs2SnCl5F
Method: DFT, PBE-GGA
State: relaxed

Properties
The calculation puts the magnetization at 0.000 μB/atom. The uncorrected formation energy is -1.7244 eV per atom.

abc: 7.417 7.417 10.787
angles: 90.00 90.00 90.00
Space group I4mm (No. 107)
Unique sites:
Cs 0.000 0.500 0.000 (multiplicity 4)
Sn 0.000 0.000 0.250 (multiplicity 2)
Cl 0.000 0.000 0.479 (multiplicity 2)
Cl 0.236 0.236 0.247 (multiplicity 8)
F 0.000 0.000 0.063 (multiplicity 2)

***

No. 5
Material: Cs2SnCl4F2
Method: DFT, PBE-GGA
State: relaxed

Properties
The calculation puts the magnetization at 0.000 μB/atom. The uncorrected formation energy is -1.9109 eV per atom.

abc: 12.173 7.366 6.168
angles: 90.00 103.00 90.00
Space group C2/m (No. 12)
Unique sites:
Cs 0.176 0.000 0.323 (multiplicity 4)
Sn 0.000 0.500 0.000 (multiplicity 2)
Cl 0.088 0.261 0.815 (multiplicity 8)
F 0.138 0.500 0.255 (multiplicity 4)

***

No. 6
Material: Cs3Sr2Cl2F5
Method: DFT, PBE-GGA
State: relaxed

Properties
The calculation puts the magnetization at 0.000 μB/atom. The uncorrected formation energy is -3.0358 eV per atom.

abc: 4.870 4.870 27.479
angles: 90.00 90.00 90.00
Space group I4/mmm (No. 139)
Unique sites:
Cs 0.000 0.000 0.000 (multiplicity 2)
Cs 0.000 0.000 0.177 (multiplicity 4)
Sr 0.000 0.000 0.413 (multiplicity 4)
Cl 0.000 0.000 0.305 (multiplicity 4)
F 0.000 0.000 0.500 (multiplicity 2)
F 0.000 0.500 0.086 (multiplicity 8)